1.
Here is a relaxed Hg2AsRh crystal from Alexandria via LeMat-Bulk. Energies are from GGA-PBE.

Geometry as POSCAR:
```
Hg2AsRh
1.0
5.113 -0.003 0.000
-1.995 4.708 0.000
0.000 0.000 3.172
As Rh Hg
1 1 2
direct
0.000 0.500 0.500
0.500 0.000 0.500
0.000 0.000 0.000
0.500 0.500 0.000
```

Summary:
Density of states at the Fermi level: 2.6 states/eV/cell
DFT formation energy: 0.308 eV/atom
Total DFT energy (no corrections): -0.2090 Ry per atom


2.
Here is a relaxed HgAs2Rh crystal from Alexandria via LeMat-Bulk. Energies are from GGA-PBE.

Geometry as POSCAR:
```
HgAs2Rh
1.0
8.350 -0.139 -0.082
7.746 3.121 -0.082
7.746 1.435 2.772
As Rh Hg
2 1 1
direct
0.011 0.011 0.011
0.258 0.258 0.258
0.738 0.738 0.738
0.493 0.493 0.493
```

Summary:
Density of states at the Fermi level: 2.1 states/eV/cell
DFT formation energy: 0.065 eV/atom
Total DFT energy (no corrections): -0.3067 Ry per atom


Question: Among the records above, which one has the lowest DFT formation energy?
Answer: HgAs2Rh


What did the second record say?
Here is a relaxed HgAs2Rh crystal from Alexandria via LeMat-Bulk. Energies are from GGA-PBE.

Geometry as POSCAR:
```
HgAs2Rh
1.0
8.350 -0.139 -0.082
7.746 3.121 -0.082
7.746 1.435 2.772
As Rh Hg
2 1 1
direct
0.011 0.011 0.011
0.258 0.258 0.258
0.738 0.738 0.738
0.493 0.493 0.493
```

Summary:
Density of states at the Fermi level: 2.1 states/eV/cell
DFT formation energy: 0.065 eV/atom
Total DFT energy (no corrections): -0.3067 Ry per atom


Question: Which of these has the highest density of states at the Fermi level?
Answer: Hg2AsRh


Question: DFT formation energy of number 1 (Hg2AsRh)?
Answer: 0.308 eV/atom